Entry 1:
## Ce2ThInN5 (PBE-GGA)

Data for crystalline Ce2ThInN5 at its relaxed geometry.

Cell: 7.3221 7.3221 11.3536 Å, 90.00 90.00 151.33°
Fractional coordinates of all 18 atoms:
Ce: 0.1357 0.8643 0.5000
Ce: 0.1355 0.8645 0.9810
Ce: 0.8643 0.1357 0.0000
Ce: 0.8645 0.1355 0.4810
Th: 0.2735 0.7265 0.7406
Th: 0.7265 0.2735 0.2406
In: 0.4866 0.5134 0.2408
In: 0.5134 0.4866 0.7408
N: 0.0966 0.9034 0.7415
N: 0.2628 0.7372 0.0958
N: 0.2628 0.7372 0.3855
N: 0.4061 0.5939 0.8854
N: 0.4065 0.5935 0.5957
N: 0.5935 0.4065 0.0957
N: 0.5939 0.4061 0.3854
N: 0.7372 0.2628 0.5958
N: 0.7372 0.2628 0.8855
N: 0.9034 0.0966 0.2415

Summary:
Calculated density (g/cm³): 7.9
E_form (uncorrected) (eV per formula unit): -9.1

***

Entry 2:
## Sr5Ti7O19 (PBE-GGA)

Data for crystalline Sr5Ti7O19 at its relaxed geometry.

Cell: 3.8285 5.6122 21.8405 Å, 90.00 90.00 90.00°
Fractional coordinates of all 31 atoms:
Sr: 0.0000 0.0000 0.0000
Sr: 0.0000 0.0000 0.2533
Sr: 0.0000 0.0000 0.7467
Sr: 0.0000 0.5000 0.1296
Sr: 0.0000 0.5000 0.8704
Ti: 0.5000 0.0000 0.1282
Ti: 0.5000 0.0000 0.3754
Ti: 0.5000 0.0000 0.6246
Ti: 0.5000 0.0000 0.8718
Ti: 0.5000 0.5000 0.0000
Ti: 0.5000 0.5000 0.2587
Ti: 0.5000 0.5000 0.7413
O: 0.0000 0.0000 0.1283
O: 0.0000 0.0000 0.3983
O: 0.0000 0.0000 0.6017
O: 0.0000 0.0000 0.8717
O: 0.0000 0.5000 0.0000
O: 0.0000 0.5000 0.2533
O: 0.0000 0.5000 0.7467
O: 0.5000 0.2368 0.3199
O: 0.5000 0.2368 0.6801
O: 0.5000 0.2492 0.1931
O: 0.5000 0.2492 0.8069
O: 0.5000 0.2498 0.0643
O: 0.5000 0.2498 0.9357
O: 0.5000 0.7502 0.0643
O: 0.5000 0.7502 0.9357
O: 0.5000 0.7508 0.1931
O: 0.5000 0.7508 0.8069
O: 0.5000 0.7632 0.3199
O: 0.5000 0.7632 0.6801

Summary:
Calculated density (g/cm³): 3.8
DOS(E_F) (states/eV/cell): 0.000
E_form (uncorrected) (eV per formula unit): -93.7